1.
## Zr2CrHg (GGA-PBE)

Data for a geometry-optimized Zr2CrHg structure.

Results
Calculated formation energy   0.15 eV/atom
Space group   Imm2, No. 44
Mass density   8.944 g cm⁻³
Size of the total moment   0.51 μB/atom
Electronic total energy   -26.4 eV/cell

abc: 5.8201 5.8201 5.8201
angles: 147.62 129.44 61.33
Last column: magnetic moment on the atom in μB.
Element x y z (fractional)
Cr 0.4997 0.4997 0.0000  2.52
Hg 0.7276 0.2276 0.5000  0.00
Zr 0.9972 0.9972 0.0000  -0.23
Zr 0.2755 0.7755 0.5000  -0.25

2.
## ScAu2Cl (GGA-PBE)

Data for a geometry-optimized ScAu2Cl structure.

Results
ΔE_f (raw)   -2.23 eV/f.u.
Space group   Cmmm, No. 65
Mass density   9.763 g cm⁻³
Size of the total moment   0.00 μB/atom
Electronic total energy   -17.0 eV/cell

abc: 3.2902 3.2902 7.4526
angles: 90.00 90.00 90.12
Element x y z (fractional)
Au 0.0000 0.0000 0.9794
Au 0.0000 0.0000 0.5206
Cl 0.5000 0.5000 0.2500
Sc 0.5000 0.5000 0.7500

3.
## TbPm2Dy5Ho (GGA-PBE)

Data for a geometry-optimized TbPm2Dy5Ho structure.

Results
Calculated formation energy   0.28 eV/atom
Space group   I4/mcm, No. 140
Mass density   8.139 g cm⁻³
Size of the total moment   0.00 μB/atom
Electronic total energy   -78.5 eV/cell

abc: 8.6139 8.6139 9.9312
angles: 115.70 115.70 90.00
Element x y z (fractional)
Tb 0.2500 0.2500 0.5000
Tb 0.7500 0.7500 0.5000
Pm 0.1177 0.3823 0.0000
Pm 0.6177 0.1177 0.0000
Pm 0.3823 0.8823 0.0000
Pm 0.8823 0.6177 0.0000
Dy 0.9280 0.4280 0.2795
Dy 0.6485 0.1485 0.7205
Dy 0.0720 0.5720 0.7205
Dy 0.1485 0.0720 0.7205
Dy 0.5720 0.6485 0.7205
Dy 0.8515 0.9280 0.2795
Dy 0.4280 0.3515 0.2795
Dy 0.3515 0.8515 0.2795
Dy 0.5000 0.5000 0.0000
Dy 0.0000 0.0000 0.0000
Ho 0.2500 0.7500 0.5000
Ho 0.7500 0.2500 0.5000

4.
## Pm3AgPd2 (GGA-PBE)

Data for a geometry-optimized Pm3AgPd2 structure.

Results
Calculated formation energy   -0.60 eV/atom
Space group   P4/mmm, No. 123
Mass density   8.640 g cm⁻³
Size of the total moment   0.00 μB/atom
Electronic total energy   -31.1 eV/cell

abc: 3.6473 3.6473 10.9182
angles: 90.00 90.00 90.00
Element x y z (fractional)
Pm 0.0000 0.0000 0.0000
Pm 0.0000 0.0000 0.6779
Pm 0.0000 0.0000 0.3221
Ag 0.5000 0.5000 0.5000
Pd 0.5000 0.5000 0.8354
Pd 0.5000 0.5000 0.1646

What did the fourth record say?
## Pm3AgPd2 (GGA-PBE)

Data for a geometry-optimized Pm3AgPd2 structure.

Results
Calculated formation energy   -0.60 eV/atom
Space group   P4/mmm, No. 123
Mass density   8.640 g cm⁻³
Size of the total moment   0.00 μB/atom
Electronic total energy   -31.1 eV/cell

abc: 3.6473 3.6473 10.9182
angles: 90.00 90.00 90.00
Element x y z (fractional)
Pm 0.0000 0.0000 0.0000
Pm 0.0000 0.0000 0.6779
Pm 0.0000 0.0000 0.3221
Ag 0.5000 0.5000 0.5000
Pd 0.5000 0.5000 0.8354
Pd 0.5000 0.5000 0.1646

- Number 2 is which compound?
  ScAu2Cl